DFT (PBE-GGA) results for Mg2CuTc after structural relaxation.

Properties
formation enthalpy at 0 K = 0.562 eV per atom
SG = I-42d, No. 122
calculated total energy = -3.8504 eV/atom

Unit cell a=5.7046 b=5.7046 c=5.7046 alpha=103.01 beta=103.01 gamma=123.36
Positions (direct):
Mg: 0.1008 0.1250 0.4758
Mg: 0.3750 0.8992 0.0242
Mg: 0.6492 0.6250 0.5242
Mg: 0.8750 0.3508 0.9758
Cu: 0.0000 0.0000 0.0000
Cu: 0.7500 0.2500 0.5000
Tc: 0.2500 0.7500 0.5000
Tc: 0.5000 0.5000 0.0000

---

DFT (PBE-GGA) results for Mg2CuTc after structural relaxation.

Properties
formation enthalpy at 0 K = 0.256 eV per atom
SG = I-4m2, No. 119
calculated total energy = -4.1568 eV/atom

Unit cell a=4.9499 b=4.9499 c=4.9499 alpha=133.46 beta=133.46 gamma=67.94
Positions (direct):
Mg: 0.0000 0.0000 0.0000
Mg: 0.7500 0.2500 0.5000
Cu: 0.5000 0.5000 0.0000
Tc: 0.2500 0.7500 0.5000

---

DFT (PBE-GGA) results for Mg2CuTc after structural relaxation.

Properties
formation enthalpy at 0 K = 0.312 eV per atom
SG = F-43m, No. 216
calculated total energy = -4.1013 eV/atom

Unit cell a=4.4861 b=4.4861 c=4.4861 alpha=60.00 beta=60.00 gamma=60.00
Positions (direct):
Mg: 0.0000 0.0000 0.0000
Mg: 0.2500 0.2500 0.2500
Cu: 0.7500 0.7500 0.7500
Tc: 0.5000 0.5000 0.5000

---

DFT (PBE-GGA) results for MgCuTc3 after structural relaxation.

Properties
formation enthalpy at 0 K = 1.508 eV per atom
SG = Pm-3m, No. 221
calculated total energy = -5.8494 eV/atom

Unit cell a=4.4964 b=4.4964 c=4.4964 alpha=90.00 beta=90.00 gamma=90.00
Positions (direct):
Mg: 0.0000 0.0000 0.0000
Cu: 0.5000 0.5000 0.5000
Tc: 0.0000 0.5000 0.5000
Tc: 0.5000 0.0000 0.5000
Tc: 0.5000 0.5000 0.0000

---

DFT (PBE-GGA) results for Mg2CuTc after structural relaxation.

Properties
formation enthalpy at 0 K = 0.143 eV per atom
SG = Cm, No. 8
calculated total energy = -4.2694 eV/atom

Unit cell a=5.3401 b=5.3401 c=4.9589 alpha=113.52 beta=113.52 gamma=29.61
Positions (direct):
Mg: 0.0000 0.0000 0.0000
Mg: 0.2245 0.2245 0.5914
Cu: 0.4774 0.4774 0.5020
Tc: 0.7564 0.7564 0.1110

---

DFT (PBE-GGA) results for Mg2CuTc after structural relaxation.

Properties
formation enthalpy at 0 K = 0.230 eV per atom
SG = I4/mmm, No. 139
calculated total energy = -4.1829 eV/atom

Unit cell a=4.8400 b=4.8400 c=4.8400 alpha=131.49 beta=131.49 gamma=71.03
Positions (direct):
Mg: 0.2500 0.7500 0.5000
Mg: 0.7500 0.2500 0.5000
Cu: 0.0000 0.0000 0.0000
Tc: 0.5000 0.5000 0.0000

---

DFT (PBE-GGA) results for MgCuTc after structural relaxation.

Properties
formation enthalpy at 0 K = -0.012 eV per atom
SG = P4/nmm, No. 129
calculated total energy = -5.3645 eV/atom

Unit cell a=3.0556 b=3.0556 c=9.6503 alpha=90.00 beta=90.00 gamma=90.00
Positions (direct):
Mg: 0.2500 0.2500 0.2359
Mg: 0.7500 0.7500 0.7641
Cu: 0.2500 0.2500 0.9326
Cu: 0.7500 0.7500 0.0674
Tc: 0.2500 0.2500 0.5709
Tc: 0.7500 0.7500 0.4291

---

DFT (PBE-GGA) results for Mg2CuTc after structural relaxation.

Properties
formation enthalpy at 0 K = 0.149 eV per atom
SG = P4/mmm, No. 123
calculated total energy = -4.2635 eV/atom

Unit cell a=4.0260 b=4.0260 c=3.8353 alpha=90.00 beta=90.00 gamma=90.00
Positions (direct):
Mg: 0.0000 0.5000 0.0000
Mg: 0.5000 0.0000 0.0000
Cu: 0.0000 0.0000 0.5000
Tc: 0.5000 0.5000 0.5000

---

DFT (PBE-GGA) results for MgCuTc after structural relaxation.

Properties
formation enthalpy at 0 K = 0.632 eV per atom
SG = F-43m, No. 216
calculated total energy = -4.7205 eV/atom

Unit cell a=4.1765 b=4.1765 c=4.1765 alpha=60.00 beta=60.00 gamma=60.00
Positions (direct):
Mg: 0.0000 0.0000 0.0000
Cu: 0.7500 0.7500 0.7500
Tc: 0.5000 0.5000 0.5000

---

DFT (PBE-GGA) results for ThMgCuTc after structural relaxation.

Properties
formation enthalpy at 0 K = 0.061 eV per atom
SG = F-43m, No. 216
calculated total energy = -5.8082 eV/atom

Unit cell a=4.7865 b=4.7865 c=4.7865 alpha=60.00 beta=60.00 gamma=60.00
Positions (direct):
Th: 0.0000 0.0000 0.0000
Mg: 0.5000 0.5000 0.5000
Cu: 0.7500 0.7500 0.7500
Tc: 0.2500 0.2500 0.2500

---

DFT (PBE-GGA) results for MgTl2CuTc after structural relaxation.

Properties
formation enthalpy at 0 K = 0.907 eV per atom
SG = P4/mmm, No. 123
calculated total energy = -3.2508 eV/atom

Unit cell a=5.2836 b=5.2836 c=5.0852 alpha=90.00 beta=90.00 gamma=90.00
Positions (direct):
Mg: 0.0000 0.0000 0.0000
Tl: 0.0000 0.5000 0.5000
Tl: 0.5000 0.0000 0.5000
Cu: 0.5000 0.5000 0.0000
Tc: 0.0000 0.0000 0.5000

---

DFT (PBE-GGA) results for MgCu2Te2 after structural relaxation.

Properties
ΔE_f (raw) = -0.122 eV per atom
SG = I4/mmm, No. 139
calculated total energy = -3.3361 eV/atom

Unit cell a=7.7587 b=7.7587 c=7.7587 alpha=151.07 beta=151.07 gamma=41.37
Positions (direct):
Mg: 0.0000 0.0000 0.0000
Cu: 0.2500 0.7500 0.5000
Cu: 0.7500 0.2500 0.5000
Te: 0.3778 0.3778 0.0000
Te: 0.6222 0.6222 0.0000

---

Computed magnetic moment, in the same sequence as the records: 0.393, 0.000, 0.387, 0.000, 0.000, 0.000, 0.000, 0.000, 0.680, 0.000, 0.212, 0.000 μB per atom.